SrPbC2S: optimized geometry, PBE.

Computed properties:
- Electronic total energy: -18.34 eV/f.u.
- E_form (uncorrected): 1.92 eV/atom
- Size of the total moment: 0.0 μB/f.u.

Lattice parameters (Å, degrees): 4.3971 4.3971 5.2724 90.00 90.00 90.00
Last column: nearest neighbours and their distance in Å.
Positions (direct):
Sr: 0.0000 0.0000 0.0000  4 Pb 3.11, 8 C 3.43
Pb: 0.5000 0.5000 0.0000  2 S 2.64
C: 0.0000 0.5000 0.5000  2 S 2.20
C: 0.5000 0.0000 0.5000  2 S 2.20
S: 0.5000 0.5000 0.5000  4 C 2.20